Entry 1:
Computed, not measured: a relaxed Sr5YCd6 crystal at the PBE level of DFT.

```
Sr5YCd6
1.0
-4.751 0.247 -3.042
-2.895 -6.327 4.007
-5.786 5.325 4.229
Sr Cd Y
5 6 1
Direct
0.668 0.000 0.665
0.000 0.500 0.000
0.668 0.500 0.663
0.332 0.500 0.337
0.332 0.000 0.335
0.842 0.761 0.317
0.500 0.771 0.000
0.500 0.229 0.000
0.158 0.239 0.683
0.158 0.761 0.683
0.842 0.239 0.317
0.000 0.000 0.000
```

energy of formation	-7.35	kcal/mol of atoms

Entry 2:
Computed, not measured: a relaxed FeCo2 crystal at the PBE level of DFT.

```
FeCo2
1.0
-2.784 2.784 2.262
2.784 -2.784 2.262
2.784 2.784 -2.262
Fe Co
2 4
Direct
0.250 0.250 0.000
0.750 0.750 0.000
0.147 0.647 0.794
0.647 0.853 0.500
0.853 0.353 0.206
0.353 0.147 0.500
```

energy of formation	6.33	kcal/mol of atoms

Entry 3:
Computed, not measured: a relaxed HgOs2Pb crystal at the PBE level of DFT.

```
HgOs2Pb
1.0
4.224 0.000 0.000
0.000 4.224 0.000
2.112 2.112 9.960
Hg Pb Os
2 2 4
Direct
0.500 0.500 0.000
0.250 0.750 0.500
0.000 0.000 0.000
0.750 0.250 0.500
0.513 0.125 0.250
0.875 0.763 0.750
0.375 0.487 0.750
0.237 0.625 0.250
```

energy above the lowest structure with this stoichiometry	569	meV per atom
energy of formation	25.04	kcal/mol of atoms

Entry 4:
Computed, not measured: a relaxed NaGaPb crystal at the PBE level of DFT.

```
NaGaPb
1.0
-0.773 -1.680 -3.961
-3.554 -2.019 1.550
-4.477 6.451 -1.862
Ga Pb Na
2 2 2
Direct
0.500 0.000 0.225
0.000 0.500 0.775
0.500 0.000 0.866
0.000 0.500 0.134
0.500 0.500 0.500
0.000 0.000 0.500
```

energy of formation	0.20	kcal/mol of atoms

Entry 5:
Computed, not measured: a relaxed CrReSb2Te crystal at the PBE level of DFT.

```
CrReSb2Te
1.0
5.033 0.000 0.000
0.000 5.033 0.000
0.000 0.000 5.636
Cr Te Re Sb
1 1 1 2
Direct
0.500 0.500 0.500
0.000 0.000 0.500
0.000 0.000 0.000
0.500 0.000 0.000
0.000 0.500 0.000
```

energy above the lowest structure with this stoichiometry	116	meV per atom
energy relative to the elements, uncorrected	1.472	eV per atom

Entry 6:
Computed, not measured: a relaxed Li3AcNi8 crystal at the PBE level of DFT.

```
Li3AcNi8
1.0
4.881 0.000 0.000
2.441 4.227 0.000
2.441 1.409 8.106
Ni Ac Li
8 1 3
Direct
0.186 0.186 0.441
0.948 0.443 0.167
0.690 0.690 0.931
0.430 0.936 0.697
0.936 0.936 0.697
0.443 0.443 0.167
0.443 0.948 0.167
0.936 0.430 0.697
0.876 0.876 0.372
0.008 0.008 0.976
0.480 0.480 0.560
0.373 0.373 0.881
```

energy of formation	-2.17	kcal/mol of atoms

no.,V (Å³/atom),total magnetic moment (Bohr magnetons per cell),density of states at the Fermi level (states/eV per cell)
1,32.0,0.000,8.345
2,11.7,10.710,7.770
3,22.2,0.000,5.998
4,25.7,0.000,2.165
5,28.6,0.767,5.224
6,13.9,0.008,10.469